# TaFe2Pt

TaFe2Pt after structural relaxation (PBE, the Alexandria database).

The energy above the most stable polymorph in this dataset comes out at 0.79 eV/f.u. The calculation puts the total moment at 3.6 μB/cell. Its total energy is -8.8330 eV/atom. Its formation energy from the elements is -50 kJ/mol of formula units.

The structure belongs to space group P4/mmm (No. 123); the cell edges are 3.185, 3.185 and 5.605 Å and the angles 90.00°, 90.00° and 90.00°. The inequivalent atoms are Ta at (0.000, 0.000, 0.000), Fe at (0.500, 0.500, 0.245) and Pt at (0.000, 0.000, 0.500).

=====

# TaFe2Pt

TaFe2Pt after structural relaxation (PBE, the Alexandria database).

The energy above the most stable polymorph in this dataset comes out at 0.70 eV/f.u. The calculation puts the total moment at 17.6 μB/cell. Its total energy is -8.8556 eV/atom. Its formation energy from the elements is -58 kJ/mol of formula units.

The structure belongs to space group Fm-3m (No. 225); the cell edges are 6.095, 6.095 and 6.095 Å and the angles 90.00°, 90.00° and 90.00°. The inequivalent atoms are Ta at (0.000, 0.000, 0.000), Fe at (0.250, 0.250, 0.250) and Pt at (0.000, 0.000, 0.500).

=====

# TaFe5Pt6

TaFe5Pt6 after structural relaxation (PBE, the Alexandria database).

The calculation puts the total moment at 30.5 μB/cell. Its total energy is -7.8945 eV/atom. Its formation energy from the elements is -417 kJ/mol of formula units.

The structure belongs to space group Cmmm (No. 65); the cell edges are 3.874, 11.614 and 7.682 Å and the angles 90.00°, 90.00° and 90.00°. The inequivalent atoms are Ta at (0.000, 0.000, 0.000), Fe at (0.000, 0.000, 0.500), Fe at (0.000, 0.328, 0.000), Fe at (0.000, 0.336, 0.500), Pt at (0.000, 0.168, 0.253) and Pt at (0.000, 0.500, 0.250).

=====

# TaFeTc2Pt

TaFeTc2Pt after structural relaxation (PBE, the Alexandria database).

The calculation puts the total moment at 3.9 μB/cell. Its total energy is -7.5169 eV/atom. Its formation energy from the elements is 917 kJ/mol of formula units.

The structure belongs to space group P4/mmm (No. 123); the cell edges are 4.730, 4.730 and 4.814 Å and the angles 90.00°, 90.00° and 90.00°. The inequivalent atoms are Ta at (0.000, 0.000, 0.000), Fe at (0.500, 0.500, 0.000), Tc at (0.000, 0.500, 0.500) and Pt at (0.000, 0.000, 0.500).

=====

# TaTiFePt

TaTiFePt after structural relaxation (PBE, the Alexandria database).

The calculation puts the total moment at 4.3 μB/cell. Its total energy is -8.9343 eV/atom. Its formation energy from the elements is -143 kJ/mol of formula units.

The structure belongs to space group F-43m (No. 216); the cell edges are 6.275, 6.275 and 6.275 Å and the angles 90.00°, 90.00° and 90.00°. The inequivalent atoms are Ta at (0.000, 0.000, 0.000), Ti at (0.000, 0.000, 0.500), Fe at (0.250, 0.250, 0.750) and Pt at (0.250, 0.250, 0.250).

=====

# TaVFe2Pt

TaVFe2Pt after structural relaxation (PBE, the Alexandria database).

The calculation puts the total moment at 5.7 μB/cell. Its total energy is -7.4840 eV/atom. Its formation energy from the elements is 629 kJ/mol of formula units.

The structure belongs to space group P4/mmm (No. 123); the cell edges are 4.593, 4.593 and 4.512 Å and the angles 90.00°, 90.00° and 90.00°. The inequivalent atoms are Ta at (0.000, 0.000, 0.000), V at (0.500, 0.500, 0.000), Fe at (0.000, 0.500, 0.500) and Pt at (0.500, 0.500, 0.500).

=====

# TaZnFePt

TaZnFePt after structural relaxation (PBE, the Alexandria database).

The calculation puts the total moment at 4.3 μB/cell. Its total energy is -7.2011 eV/atom. Its formation energy from the elements is -113 kJ/mol of formula units.

The structure belongs to space group F-43m (No. 216); the cell edges are 6.168, 6.168 and 6.168 Å and the angles 90.00°, 90.00° and 90.00°. The inequivalent atoms are Ta at (0.000, 0.000, 0.000), Zn at (0.000, 0.000, 0.500), Fe at (0.250, 0.250, 0.250) and Pt at (0.250, 0.250, 0.750).

=====

# Tb3FePt12

Tb3FePt12 after structural relaxation (PBE, the Alexandria database).

The calculation puts the total moment at 4.7 μB/cell. Its total energy is -6.7293 eV/atom. Its formation energy from the elements is -1237 kJ/mol of formula units.

The structure belongs to space group P4/mmm (No. 123); the cell edges are 4.091, 4.091 and 16.242 Å and the angles 90.00°, 90.00° and 90.00°. The inequivalent atoms are Tb at (0.000, 0.000, 0.000), Tb at (0.000, 0.000, 0.256), Fe at (0.000, 0.000, 0.500), Pt at (0.000, 0.500, 0.128), Pt at (0.000, 0.500, 0.388), Pt at (0.500, 0.500, 0.000), Pt at (0.500, 0.500, 0.258) and Pt at (0.500, 0.500, 0.500).

=====

# FeTcPt2

FeTcPt2 after structural relaxation (PBE, the Alexandria database).

The energy above the most stable polymorph in this dataset comes out at 4.61 eV/f.u. The calculation puts the total moment at 0.0 μB/cell. Its total energy is -6.7462 eV/atom. Its formation energy from the elements is 379 kJ/mol of formula units.

The structure belongs to space group I-42d (No. 122); the cell edges are 5.423, 5.423 and 11.129 Å and the angles 90.00°, 90.00° and 90.00°. The inequivalent atoms are Fe at (0.000, 0.000, 0.000), Tc at (0.000, 0.000, 0.500) and Pt at (0.232, 0.250, 0.125).

=====

# FeTcPt2

FeTcPt2 after structural relaxation (PBE, the Alexandria database).

The energy above the most stable polymorph in this dataset comes out at 0.40 eV/f.u. The calculation puts the total moment at 6.2 μB/cell. Its total energy is -7.7965 eV/atom. Its formation energy from the elements is -27 kJ/mol of formula units.

The structure belongs to space group R3m (No. 160, hexagonal axes); the cell edges are 2.7369, 2.7369 and 26.8210 Å and the angles 90.00°, 90.00° and 120.00°. The inequivalent atoms are Fe at (0.0000, 0.0000, 0.0000), Tc at (0.0000, 0.0000, 0.2570), Pt at (0.0000, 0.0000, 0.5050) and Pt at (0.0000, 0.0000, 0.7465).

=====

# Fe3TcPt

Fe3TcPt after structural relaxation (PBE, the Alexandria database).

The energy above the most stable polymorph in this dataset comes out at 0.00 eV/f.u. The calculation puts the total moment at 5.3 μB/cell. Its total energy is -6.9571 eV/atom. Its formation energy from the elements is 676 kJ/mol of formula units.

The structure belongs to space group Pm-3m (No. 221); the cell edges are 4.371, 4.371 and 4.371 Å and the angles 90.00°, 90.00° and 90.00°. The inequivalent atoms are Fe at (0.000, 0.000, 0.500), Tc at (0.000, 0.000, 0.000) and Pt at (0.500, 0.500, 0.500).

=====

# FeTcPt2

FeTcPt2 after structural relaxation (PBE, the Alexandria database).

The energy above the most stable polymorph in this dataset comes out at 0.81 eV/f.u. The calculation puts the total moment at 2.9 μB/cell. Its total energy is -7.6961 eV/atom. Its formation energy from the elements is 12 kJ/mol of formula units.

The structure belongs to space group P4mm (No. 99); the cell edges are 3.239, 3.239 and 5.605 Å and the angles 90.00°, 90.00° and 90.00°. The inequivalent atoms are Fe at (0.000, 0.000, 0.000), Tc at (0.500, 0.500, 0.753), Pt at (0.000, 0.000, 0.501) and Pt at (0.500, 0.500, 0.228).

=====

# FeTcPt14

FeTcPt14 after structural relaxation (PBE, the Alexandria database).

The calculation puts the total moment at 4.9 μB/cell. Its total energy is -6.5666 eV/atom. Its formation energy from the elements is -161 kJ/mol of formula units.

The structure belongs to space group P4/mmm (No. 123); the cell edges are 5.601, 5.601 and 7.861 Å and the angles 90.00°, 90.00° and 90.00°. The inequivalent atoms are Fe at (0.000, 0.000, 0.000), Tc at (0.500, 0.500, 0.000), Pt at (0.000, 0.000, 0.500), Pt at (0.000, 0.500, 0.000), Pt at (0.000, 0.500, 0.500), Pt at (0.250, 0.250, 0.242) and Pt at (0.500, 0.500, 0.500).